Record 1
Below is a relaxed ThPa3N crystal, with properties calculated at the PBE level.

Output
For the uncorrected formation energy, the calculation gives -525 meV per atom. Its space-group type is No. 221. As for the crystal system: cubic. The total energy is -9.372 eV per atom. The calculated volume is 114.3 Å³/cell.

abc: 4.8529 4.8529 4.8529
angles: 90.00 90.00 90.00
Closest atoms and distances in Å follow each position.
Sites, in units of the cell vectors:
Pa 0.0000 0.5000 0.0000  2 N 2.43
Pa 0.0000 0.0000 0.5000  2 N 2.43
Pa 0.5000 0.0000 0.0000  2 N 2.43
Th 0.5000 0.5000 0.5000  12 Pa 3.43
N 0.0000 0.0000 0.0000  6 Pa 2.43



Record 2
Below is a relaxed VCuRh3 crystal, with properties calculated at the PBE level.

Output
As for the formation energy: -169 meV per atom. The calculation puts the energy above the lowest structure with this stoichiometry at 0 meV per atom. Its space-group type is No. 2. As for the crystal system: triclinic. The total energy is -7.223 eV per atom. The calculated volume is 136.4 Å³/cell.

abc: 4.5279 4.5082 7.2861
angles: 85.30 71.92 74.71
Closest atoms and distances in Å follow each position.
Sites, in units of the cell vectors:
V 0.8558 0.8448 0.0075  9 Rh 2.59-2.87, 3 Cu 2.74-2.77
V 0.5552 0.3440 0.6071  9 Rh 2.59-2.87, 3 Cu 2.74-2.77
Cu 0.3552 0.3441 0.0074  9 Rh 2.60-2.79, 3 V 2.74-2.77
Cu 0.0559 0.8450 0.6069  9 Rh 2.60-2.79, 3 V 2.74-2.77
Rh 0.1541 0.3447 0.4108  3 Cu 2.63-2.79, 2 V 2.64-2.65, 7 Rh 2.67-2.74
Rh 0.9587 0.3449 0.8011  4 Cu 2.62-2.68, 4 V 2.63-2.67, 4 Rh 2.70-2.74
Rh 0.6485 0.8442 0.4222  3 V 2.59-2.87, 2 Cu 2.60, 7 Rh 2.71-2.76
Rh 0.7626 0.3443 0.1924  3 V 2.59-2.87, 2 Cu 2.60, 7 Rh 2.71-2.76
Rh 0.2571 0.8441 0.2038  3 Cu 2.63-2.79, 2 V 2.64, 7 Rh 2.67-2.74
Rh 0.4524 0.8439 0.8135  4 Cu 2.62-2.68, 4 V 2.63-2.67, 4 Rh 2.70-2.74



Record 3
Below is a relaxed CrMo2As crystal, with properties calculated at the PBE level.

Output
As for the formation energy: 105 meV per atom. Its space-group type is No. 6. As for the crystal system: monoclinic. The total energy is -8.879 eV per atom. The calculated volume is 59.3 Å³/cell.

abc: 4.3196 2.9008 4.9262
angles: 73.73 90.00 90.00
Closest atoms and distances in Å follow each position.
Sites, in units of the cell vectors:
As 0.0000 0.6647 0.5104  2 Cr 2.49, 5 Mo 2.55-2.75
Cr 0.5000 0.6602 0.7626  4 Mo 2.42-2.67, 2 As 2.49
Mo 0.0000 0.9787 0.9721  3 As 2.55-2.68, 2 Cr 2.67, 2 Mo 2.74
Mo 0.5000 0.1963 0.2549  2 Cr 2.42-2.55



Record 4
Below is a relaxed NaAg3F crystal, with properties calculated at the PBE level.

Output
The calculation puts the energy above the lowest structure with this stoichiometry at 0 meV per atom. For the uncorrected formation energy, the calculation gives -125 meV per atom. Its space-group type is No. 221. As for the crystal system: cubic. The total energy is -2.473 eV per atom. The calculated volume is 107.8 Å³/cell.

abc: 4.7591 4.7591 4.7591
angles: 90.00 90.00 90.00
Closest atoms and distances in Å follow each position.
Sites, in units of the cell vectors:
Na 0.5000 0.5000 0.5000  12 Ag 3.37
Ag 0.0000 0.5000 0.0000  2 F 2.38
Ag 0.0000 0.0000 0.5000  2 F 2.38
Ag 0.5000 0.0000 0.0000  2 F 2.38
F 0.0000 0.0000 0.0000  6 Ag 2.38



Record 5
Below is a relaxed Er4Ga3Ni crystal, with properties calculated at the PBE level.

Output
As for the formation energy: -561 meV per atom. Its space-group type is No. 25. As for the crystal system: orthorhombic. The total energy is -4.700 eV per atom. The calculated volume is 178.1 Å³/cell.

abc: 3.8327 4.2779 10.8638
angles: 90.00 90.00 90.00
Closest atoms and distances in Å follow each position.
Sites, in units of the cell vectors:
Er 0.5000 0.5000 0.3403  1 Ni 2.94, 6 Ga 3.01-3.19
Er 0.0000 0.5000 0.8719  2 Ni 2.88, 4 Ga 2.94
Er 0.0000 0.0000 0.1402  4 Ni 2.97, 3 Ga 2.99-3.08
Er 0.5000 0.0000 0.6506  7 Ga 2.99-3.12
Ga 0.0000 0.5000 0.5745  2 Ga 2.69, 4 Er 2.99
Ga 0.0000 0.0000 0.4239  2 Ga 2.69, 4 Er 3.01
Ga 0.5000 0.0000 0.9289  2 Ni 2.63, 4 Er 2.94
Ni 0.5000 0.5000 0.0697  2 Ga 2.63, 3 Er 2.88-2.94



Record 6
Below is a relaxed PmPr5In6 crystal, with properties calculated at the PBE level.

Output
As for the formation energy: -494 meV per atom. Its space-group type is No. 71. As for the crystal system: orthorhombic. The total energy is -4.251 eV per atom. The calculated volume is 354.2 Å³/cell.

abc: 5.5033 9.5423 9.5377
angles: 59.98 73.22 54.75
Closest atoms and distances in Å follow each position.
Sites, in units of the cell vectors:
Pm 0.0000 0.0000 0.0000  8 In 3.34-3.35
Pr 0.5000 0.1685 0.6629  8 In 3.36-3.38
Pr 0.0000 0.3343 0.3314  8 In 3.38-3.39
Pr 0.5000 0.5000 0.0000  8 In 3.37-3.40
Pr 0.0000 0.6657 0.6686  8 In 3.38-3.39
Pr 0.5000 0.8315 0.3371  8 In 3.36-3.38
In 0.7524 0.0820 0.3309  1 Pm 3.34, 7 Pr 3.36-3.39
In 0.2476 0.5871 0.3309  1 Pm 3.34, 7 Pr 3.36-3.39
In 0.2549 0.2449 0.0000  2 Pm 3.35, 6 Pr 3.38-3.40
In 0.7451 0.7551 0.0000  2 Pm 3.35, 6 Pr 3.38-3.40
In 0.7524 0.4129 0.6691  1 Pm 3.34, 7 Pr 3.36-3.39
In 0.2476 0.9180 0.6691  1 Pm 3.34, 7 Pr 3.36-3.39